Cr2Te | PBE | optimized geometry

The energy above the most stable polymorph in this dataset comes out at 143 meV/atom. The formation energy (no corrections) comes out at 0.2301 eV per atom.

abc: 3.884 15.775 3.894
angles: 90.00 90.00 90.00
Space group Cmcm (No. 63)
Inequivalent atoms, fractional coordinates:
Cr: 0.000 0.155 0.250
Cr: 0.000 0.250 0.750
Te: 0.000 0.388 0.250